A geometry-optimized TlMo3Se3 structure, computed with PBE.

The space group is P6_3/m (No. 176) and the conventional cell measures 9.1892, 9.1892 and 4.5236 Å, with angles of 90.00, 90.00 and 120.00 degrees. The distinct sites, in fractional coordinates, are Tl at (0.3333, 0.6667, 0.2500), Mo at (0.0309, 0.8500, 0.2500) and Se at (0.0630, 0.7044, 0.7500).

The value obtained for the magnetization is 0.00 μB per cell. The calculation puts the energy relative to the elements, uncorrected at -0.49 eV per atom.

---

A geometry-optimized TlMoSe4 structure, computed with PBE.

The space group is P-1 (No. 2) and the conventional cell measures 6.3870, 7.7567 and 7.9360 Å, with angles of 107.09, 111.29 and 101.96 degrees. The distinct sites, in fractional coordinates, are Tl at (0.1194, 0.2265, 0.3685), Mo at (0.2142, 0.4991, 0.0000), Se at (0.0977, 0.8036, 0.0400), Se at (0.1782, 0.6148, 0.3289), Se at (0.3441, 0.2297, 0.8062) and Se at (0.4682, 0.6605, 0.8436).

The value obtained for the magnetization is 0.00 μB per cell. Its energy above the most stable polymorph in this dataset is 0 meV per atom. The calculation puts the energy relative to the elements, uncorrected at -0.32 eV per atom.

---

A geometry-optimized TlMo2Se structure, computed with PBE.

The space group is Immm (No. 71) and the conventional cell measures 3.0696, 5.3466 and 9.0806 Å, with angles of 90.00, 90.00 and 90.00 degrees. The distinct sites, in fractional coordinates, are Tl at (0.0000, 0.0000, 0.0000), Mo at (0.0000, 0.5000, 0.2181) and Se at (0.0000, 0.0000, 0.5000).

The value obtained for the magnetization is 0.00 μB per cell. Its energy above the most stable polymorph in this dataset is 431 meV per atom. The calculation puts the energy relative to the elements, uncorrected at 0.63 eV per atom.

---

A geometry-optimized TlMo2Se structure, computed with PBE.

The space group is R-3m (No. 166, hexagonal axes) and the conventional cell measures 3.0836, 3.0836 and 26.0642 Å, with angles of 90.00, 90.00 and 120.00 degrees. The distinct sites, in fractional coordinates, are Tl at (0.0000, 0.0000, 0.0000), Mo at (0.0000, 0.0000, 0.2407) and Se at (0.0000, 0.0000, 0.5000).

The value obtained for the magnetization is 0.03 μB per cell. Its energy above the most stable polymorph in this dataset is 288 meV per atom. The calculation puts the energy relative to the elements, uncorrected at 0.48 eV per atom.

---

- energy relative to the elements, uncorrected of number 1 (TlMo3Se3)?
  -0.49 eV per atom